(1)
Density functional theory data (PBE) for a geometry-optimized Na2CdPb3 structure.

Geometry as POSCAR:
```
Na2CdPb3
1.0
-3.338 -1.802 -5.162
-1.876 -4.879 3.703
-5.487 6.017 2.994
Na Cd Pb
4 2 6
Direct
0.617 0.131 0.373
0.131 0.617 0.873
0.869 0.383 0.127
0.383 0.869 0.627
0.920 0.080 0.750
0.080 0.920 0.250
0.597 0.403 0.750
0.841 0.684 0.497
0.159 0.316 0.503
0.403 0.597 0.250
0.684 0.841 0.997
0.316 0.159 0.003
```

The calculation puts the energy above the most stable polymorph in this dataset at 0 meV/atom. Its mass density is 7.485 g/cm³. As for the formation energy from the elements: -0.095 eV per atom.



(2)
Density functional theory data (PBE) for a geometry-optimized Na2CdPb structure.

Geometry as POSCAR:
```
Na2CdPb
1.0
-2.201 -1.648 2.195
0.242 -3.482 0.449
6.215 -0.199 8.904
Pb Na Cd
1 2 1
Direct
0.500 0.500 0.500
0.252 0.252 0.245
0.082 0.082 0.755
0.667 0.667 0.000
```

Its mass density is 5.306 g/cm³. As for the formation energy from the elements: -0.058 eV per atom.



(3)
Density functional theory data (PBE) for a geometry-optimized Na5CdPb4 structure.

Geometry as POSCAR:
```
Na5CdPb4
1.0
-0.345 -3.344 -0.318
3.213 -0.422 0.947
-7.151 -1.507 23.590
Pb Na Cd
4 5 1
Direct
0.000 0.000 0.601
0.000 0.000 0.805
0.000 0.000 0.195
0.000 0.000 0.399
0.500 0.500 0.906
0.500 0.500 0.094
0.500 0.500 0.500
0.500 0.500 0.703
0.500 0.500 0.297
0.000 0.000 0.000
```

Its mass density is 6.228 g/cm³. As for the formation energy from the elements: -0.126 eV per atom.



(4)
Density functional theory data (PBE) for a geometry-optimized Na6CdPb structure.

Geometry as POSCAR:
```
Na6CdPb
1.0
5.748 0.000 0.000
0.000 6.055 0.000
0.000 0.000 6.881
Na Cd Pb
6 1 1
Direct
0.500 0.356 0.000
0.000 0.174 0.749
0.000 0.633 0.500
0.500 0.829 0.257
0.000 0.174 0.251
0.500 0.829 0.743
0.000 0.680 0.000
0.500 0.323 0.500
```

The calculation puts the energy above the most stable polymorph in this dataset at 0 meV/atom. Its mass density is 3.172 g/cm³. As for the formation energy from the elements: -0.090 eV per atom.



(5)
Density functional theory data (PBE) for a geometry-optimized Na5Cd3Pb3 structure.

Geometry as POSCAR:
```
Na5Cd3Pb3
1.0
-2.710 -0.864 1.748
-2.007 -7.824 -6.979
6.116 -1.904 8.539
Na Cd Pb
5 3 3
Direct
0.500 0.336 0.000
0.500 0.667 0.333
0.500 0.664 0.664
0.500 0.333 0.667
0.500 0.000 0.336
0.500 0.000 0.842
0.500 0.842 0.000
0.500 0.158 0.158
0.000 0.600 0.000
0.000 0.400 0.400
0.000 0.000 0.600
```

The calculation puts the energy above the most stable polymorph in this dataset at 0 meV/atom. Its mass density is 5.412 g/cm³. As for the formation energy from the elements: -0.033 eV per atom.



(6)
Density functional theory data (PBE) for a geometry-optimized Na7CdPb3 structure.

Geometry as POSCAR:
```
Na7CdPb3
1.0
7.833 0.000 0.000
0.000 7.412 0.000
0.000 -3.706 6.419
Pb Na Cd
3 7 1
Direct
0.774 0.045 0.523
0.774 0.477 0.523
0.774 0.477 0.955
0.108 0.171 0.829
0.492 0.836 0.672
0.492 0.836 0.164
0.492 0.328 0.164
0.055 0.667 0.333
0.108 0.658 0.829
0.108 0.171 0.342
0.437 0.333 0.667
```

Its mass density is 3.987 g/cm³. As for the formation energy from the elements: -0.037 eV per atom.



(7)
Density functional theory data (PBE) for a geometry-optimized Na6CdPb2 structure.

Geometry as POSCAR:
```
Na6CdPb2
1.0
-2.155 -2.425 7.007
8.344 -2.403 1.734
0.703 7.898 2.950
Na Pb Cd
12 4 2
Direct
0.106 0.793 0.936
0.122 0.651 0.562
0.832 0.680 0.211
0.894 0.207 0.064
0.606 0.707 0.564
0.332 0.820 0.289
0.168 0.320 0.789
0.394 0.293 0.436
0.668 0.180 0.711
0.622 0.849 0.938
0.378 0.151 0.062
0.878 0.349 0.438
0.678 0.018 0.322
0.322 0.982 0.678
0.822 0.518 0.822
0.178 0.482 0.178
0.500 0.500 0.000
0.000 0.000 0.500
```

The calculation puts the energy above the most stable polymorph in this dataset at 39 meV/atom. Its mass density is 3.838 g/cm³. As for the formation energy from the elements: -0.085 eV per atom.



(8)
Density functional theory data (PBE) for a geometry-optimized Na3CdPb4 structure.

Geometry as POSCAR:
```
Na3CdPb4
1.0
7.000 -0.197 0.346
-3.619 5.995 -0.346
-2.739 -2.288 6.035
Na Pb Cd
3 4 1
Direct
0.777 0.000 0.777
0.559 0.307 0.866
0.559 0.693 0.252
0.122 0.191 0.313
0.138 0.750 0.388
0.638 0.250 0.388
0.122 0.809 0.931
0.235 0.500 0.735
```

The calculation puts the energy above the most stable polymorph in this dataset at 18 meV/atom. Its mass density is 6.662 g/cm³. As for the formation energy from the elements: -0.055 eV per atom.



(9)
Density functional theory data (PBE) for a geometry-optimized Na4Cd2Pb3 structure.

Geometry as POSCAR:
```
Na4Cd2Pb3
1.0
-2.290 0.002 6.555
7.651 -1.950 4.444
4.495 7.123 3.338
Pb Na Cd
6 8 4
Direct
0.681 0.173 0.161
0.181 0.161 0.173
0.750 0.475 0.525
0.819 0.839 0.827
0.250 0.525 0.475
0.319 0.827 0.839
0.652 0.831 0.514
0.505 0.179 0.822
0.152 0.514 0.831
0.995 0.178 0.821
0.848 0.486 0.169
0.005 0.822 0.179
0.495 0.821 0.178
0.348 0.169 0.486
0.338 0.491 0.145
0.162 0.855 0.509
0.838 0.145 0.491
0.662 0.509 0.855
```

Its mass density is 6.207 g/cm³. As for the formation energy from the elements: -0.108 eV per atom.



(10)
Density functional theory data (PBE) for a geometry-optimized Na8Cd5Pb structure.

Geometry as POSCAR:
```
Na8Cd5Pb
1.0
8.178 0.024 -0.042
-2.744 7.704 0.042
-2.689 -3.883 6.676
Na Cd Pb
8 5 1
Direct
0.288 0.253 0.381
0.121 0.746 0.526
0.474 0.595 0.220
0.780 0.254 0.375
0.128 0.747 0.035
0.625 0.405 0.879
0.965 0.093 0.712
0.619 0.907 0.872
0.876 0.879 0.244
0.365 0.121 0.997
0.003 0.368 0.124
0.500 0.000 0.500
0.756 0.632 0.635
0.250 0.500 0.750
```

Its mass density is 3.759 g/cm³. As for the formation energy from the elements: 0.002 eV per atom.



(11)
Density functional theory data (PBE) for a geometry-optimized Na7Cd4Pb structure.

Geometry as POSCAR:
```
Na7Cd4Pb
1.0
5.947 0.000 0.000
2.974 8.596 1.221
2.974 1.351 7.268
Cd Na Pb
4 7 1
Direct
0.317 0.347 0.019
0.473 0.677 0.377
0.527 0.323 0.623
0.683 0.653 0.981
0.819 0.868 0.494
0.078 0.592 0.252
0.250 0.723 0.777
0.922 0.408 0.748
0.500 0.000 0.000
0.750 0.277 0.223
0.181 0.132 0.506
0.000 0.000 0.000
```

The calculation puts the energy above the most stable polymorph in this dataset at 57 meV/atom. Its mass density is 3.754 g/cm³. As for the formation energy from the elements: -0.017 eV per atom.



(12)
Density functional theory data (PBE) for a geometry-optimized Na2CdPb6 structure.

Geometry as POSCAR:
```
Na2CdPb6
1.0
4.661 0.000 -1.394
-0.723 7.639 -2.419
-0.285 0.135 7.537
Pb Na Cd
6 2 1
Direct
0.274 0.169 0.548
0.163 0.497 0.325
0.390 0.833 0.781
0.837 0.503 0.675
0.726 0.831 0.452
0.610 0.167 0.219
0.943 0.175 0.887
0.057 0.825 0.113
0.500 0.500 0.000
```

The calculation puts the energy above the most stable polymorph in this dataset at 0 meV/atom. Its mass density is 8.717 g/cm³. As for the formation energy from the elements: -0.063 eV per atom.



(13)
Density functional theory data (PBE) for a geometry-optimized Na5Cd3Pb structure.

Geometry as POSCAR:
```
Na5Cd3Pb
1.0
-7.137 -0.720 -2.048
0.871 -0.299 -7.403
-0.534 -11.184 -1.678
Na Cd Pb
10 6 2
Direct
0.298 0.702 0.000
0.678 0.040 0.752
0.702 0.298 0.000
0.720 0.720 0.048
0.322 0.960 0.248
0.280 0.280 0.952
0.960 0.322 0.248
0.570 0.570 0.362
0.430 0.430 0.638
0.040 0.678 0.752
0.611 0.611 0.796
0.000 0.000 0.500
0.264 0.264 0.457
0.000 0.000 0.000
0.389 0.389 0.204
0.736 0.736 0.543
0.129 0.129 0.733
0.871 0.871 0.267
```

Its mass density is 3.628 g/cm³. As for the formation energy from the elements: 0.055 eV per atom.



(14)
Density functional theory data (PBE) for a geometry-optimized Na2CdPb4 structure.

Geometry as POSCAR:
```
Na2CdPb4
1.0
5.766 0.000 0.000
0.000 6.186 0.000
0.000 -3.093 7.289
Na Pb Cd
2 4 1
Direct
0.500 0.156 0.313
0.500 0.844 0.687
0.000 0.711 0.423
0.500 0.396 0.791
0.500 0.604 0.209
0.000 0.289 0.577
0.000 0.500 0.000
```

The calculation puts the energy above the most stable polymorph in this dataset at 69 meV/atom. Its mass density is 6.305 g/cm³. As for the formation energy from the elements: 0.063 eV per atom.



(15)
Density functional theory data (PBE) for a geometry-optimized Na2CdPb structure.

Geometry as POSCAR:
```
Na2CdPb
1.0
-2.436 6.748 -4.985
-7.314 -4.251 -2.181
-6.356 2.533 -1.120
Na Cd Pb
4 2 2
Direct
0.875 0.864 0.750
0.614 0.125 0.250
0.136 0.625 0.250
0.375 0.386 0.750
0.250 0.750 0.500
0.500 0.500 0.000
0.000 0.000 0.000
0.750 0.250 0.500
```

Its mass density is 5.054 g/cm³. As for the formation energy from the elements: 0.031 eV per atom.



(16)
Density functional theory data (PBE) for a geometry-optimized Na2CdPb9 structure.

Geometry as POSCAR:
```
Na2CdPb9
1.0
-3.109 -3.667 1.103
3.750 -3.203 -0.077
2.310 2.359 14.356
Pb Na Cd
9 2 1
Direct
0.500 0.000 0.500
0.500 0.000 0.835
0.000 0.500 0.835
0.000 0.500 0.500
0.500 0.000 0.165
0.500 0.500 0.669
0.500 0.500 0.331
0.500 0.500 0.000
0.000 0.500 0.165
0.000 0.000 0.333
0.000 0.000 0.667
0.000 0.000 0.000
```

Its mass density is 9.374 g/cm³. As for the formation energy from the elements: -0.061 eV per atom.



(17)
Density functional theory data (PBE) for a geometry-optimized Na3Cd8Pb3 structure.

Geometry as POSCAR:
```
Na3Cd8Pb3
1.0
4.987 0.000 0.000
2.494 9.151 0.264
2.494 2.745 8.734
Na Cd Pb
3 8 3
Direct
0.191 0.809 0.809
0.809 0.191 0.191
0.500 0.500 0.500
0.365 0.902 0.369
0.365 0.369 0.902
0.818 0.815 0.549
0.182 0.451 0.185
0.635 0.631 0.098
0.818 0.549 0.815
0.182 0.185 0.451
0.635 0.098 0.631
0.500 0.000 0.000
0.000 0.779 0.221
0.000 0.221 0.779
```

The calculation puts the energy above the most stable polymorph in this dataset at 0 meV/atom. Its mass density is 6.684 g/cm³. As for the formation energy from the elements: -0.043 eV per atom.



(18)
Density functional theory data (PBE) for a geometry-optimized Na2Cd15Pb2 structure.

Geometry as POSCAR:
```
Na2Cd15Pb2
1.0
7.855 -0.201 -0.179
0.820 7.815 -0.179
0.820 0.719 7.784
Cd Na Pb
15 2 2
Direct
0.000 0.500 0.000
0.357 0.357 0.828
0.357 0.828 0.357
0.828 0.357 0.357
0.000 0.311 0.689
0.643 0.172 0.643
0.311 0.689 0.000
0.000 0.000 0.500
0.172 0.643 0.643
0.000 0.689 0.311
0.689 0.000 0.311
0.689 0.311 0.000
0.311 0.000 0.689
0.643 0.643 0.172
0.500 0.000 0.000
0.352 0.352 0.352
0.648 0.648 0.648
0.890 0.890 0.890
0.110 0.110 0.110
```

Its mass density is 7.407 g/cm³. As for the formation energy from the elements: -0.020 eV per atom.



(19)
Density functional theory data (PBE) for a geometry-optimized Na7Cd2Pb2 structure.

Geometry as POSCAR:
```
Na7Cd2Pb2
1.0
6.410 1.040 1.189
0.581 7.466 -0.336
0.581 -1.326 7.355
Na Cd Pb
7 2 2
Direct
0.500 0.000 0.000
0.706 0.564 0.063
0.706 0.063 0.564
0.294 0.436 0.937
0.027 0.674 0.674
0.294 0.937 0.436
0.973 0.326 0.326
0.000 0.126 0.874
0.000 0.874 0.126
0.455 0.348 0.348
0.545 0.652 0.652
```

The calculation puts the energy above the most stable polymorph in this dataset at 54 meV/atom. Its mass density is 3.926 g/cm³. As for the formation energy from the elements: -0.046 eV per atom.



(20)
Density functional theory data (PBE) for a geometry-optimized Na2CdPb structure.

Geometry as POSCAR:
```
Na2CdPb
1.0
3.610 0.000 0.000
0.000 3.610 0.000
0.000 0.000 8.513
Na Pb Cd
2 1 1
Direct
0.000 0.000 0.754
0.000 0.000 0.246
0.500 0.500 0.500
0.500 0.500 0.000
```

Its mass density is 5.472 g/cm³. As for the formation energy from the elements: -0.089 eV per atom.



(21)
Density functional theory data (PBE) for a geometry-optimized Na3Cd4Pb structure.

Geometry as POSCAR:
```
Na3Cd4Pb
1.0
0.159 -3.541 -6.054
3.363 -1.676 5.924
-5.295 0.109 4.601
Cd Na Pb
4 3 1
Direct
0.112 0.231 0.343
0.112 0.769 0.882
0.071 0.755 0.316
0.561 0.245 0.316
0.599 0.736 0.335
0.599 0.264 0.863
0.829 0.000 0.829
0.267 0.500 0.767
```

The calculation puts the energy above the most stable polymorph in this dataset at 87 meV/atom. Its mass density is 5.579 g/cm³. As for the formation energy from the elements: -0.013 eV per atom.